Density functional theory data (PBE) for an optimized crystal structure of Na2Tl7Ga.

Cell lengths 11.585, 11.585, 11.585 Å; angles 90.00, 90.00, 90.00 degrees
Space group Fm-3m (No. 225)
Symmetry-distinct sites (fractional):
Na  0.250  0.250  0.250 x8
Tl  0.000  0.000  0.000 x4
Tl  0.000  0.000  0.260 x24
Ga  0.000  0.000  0.500 x4

Computed properties:
* formation energy from the elements: 0.200 eV per atom